Tl12As3H5 | PBE | relaxed

Computed properties:
DOS(E_F) = 0.288 states/eV/atom
volume = 2024 Å³/cell
VASP energy = -0.1006 hartree per atom
total magnetic moment = 0.000 μB per cell

Unit cell a=13.8016 b=13.8016 c=13.8016 alpha=109.47 beta=109.47 gamma=109.47
Last column: nearest neighbours and their distance in Å.
Fractional positions:
As1 0.2500 0.6250 0.8750  8 Tl 3.11-3.17
As2 0.3750 0.6250 0.2500  8 Tl 3.11-3.17
As3 0.7500 0.8750 0.6250  8 Tl 3.11-3.17
As4 0.6250 0.3750 0.7500  8 Tl 3.11-3.17
As5 0.6250 0.2500 0.3750  8 Tl 3.11-3.17
As6 0.1250 0.8750 0.7500  8 Tl 3.11-3.17
As7 0.7500 0.3750 0.1250  8 Tl 3.11-3.17
As8 0.1250 0.2500 0.8750  8 Tl 3.11-3.17
As9 0.3750 0.7500 0.6250  8 Tl 3.11-3.17
As10 0.8750 0.7500 0.1250  8 Tl 3.11-3.17
As11 0.8750 0.1250 0.2500  8 Tl 3.11-3.17
As12 0.2500 0.1250 0.3750  8 Tl 3.11-3.17
Tl1 0.8837 0.5881 0.9063  2 H 2.35-2.59
Tl2 0.0226 0.4063 0.8182  2 H 2.35-2.59
Tl3 0.5226 0.2044 0.1163  2 H 2.35-2.59
Tl4 0.2956 0.8837 0.9774  2 H 2.35-2.59
Tl5 0.9119 0.8182 0.7956  2 H 2.35-2.59
Tl6 0.9063 0.0881 0.8837  2 H 2.35-2.59
Tl7 0.1818 0.0881 0.7044  2 H 2.35-2.59
Tl8 0.8182 0.9063 0.0226  2 H 2.35-2.59
Tl9 0.5881 0.7044 0.6818  2 H 2.35-2.59
Tl10 0.8182 0.9119 0.2956  2 H 2.35-2.59
Tl11 0.3182 0.5226 0.4063  2 H 2.35-2.59
Tl12 0.9774 0.3837 0.2956  2 H 2.35-2.59
Tl13 0.3182 0.7956 0.4119  2 H 2.35-2.59
Tl14 0.3837 0.9774 0.7956  2 H 2.35-2.59
Tl15 0.0881 0.9063 0.3837  2 H 2.35-2.59
Tl16 0.4774 0.7956 0.8837  2 H 2.35-2.59
Tl17 0.3837 0.4063 0.0881  2 H 2.35-2.59
Tl18 0.9119 0.0937 0.6163  2 H 2.35-2.59
Tl19 0.0226 0.6163 0.7044  2 H 2.35-2.59
Tl20 0.9774 0.5937 0.1818  2 H 2.35-2.59
Tl21 0.6163 0.0226 0.2044  2 H 2.35-2.59
Tl22 0.7044 0.1163 0.0226  2 H 2.35-2.59
Tl23 0.6163 0.5937 0.9119  2 H 2.35-2.59
Tl24 0.5881 0.8837 0.4063  2 H 2.35-2.59
Tl25 0.4119 0.2956 0.3182  2 H 2.35-2.59
Tl26 0.4774 0.6818 0.0937  2 H 2.35-2.59
Tl27 0.1163 0.4119 0.0937  2 H 2.35-2.59
Tl28 0.8837 0.2956 0.4774  2 H 2.35-2.59
Tl29 0.4063 0.3837 0.5881  2 H 2.35-2.59
Tl30 0.0937 0.1818 0.4774  2 H 2.35-2.59
Tl31 0.7956 0.4774 0.3837  2 H 2.35-2.59
Tl32 0.6818 0.4774 0.5937  2 H 2.35-2.59
Tl33 0.1163 0.7044 0.5226  2 H 2.35-2.59
Tl34 0.5937 0.9774 0.6818  2 H 2.35-2.59
Tl35 0.1818 0.0937 0.9774  2 H 2.35-2.59
Tl36 0.7956 0.3182 0.9119  2 H 2.35-2.59
Tl37 0.4119 0.1163 0.5937  2 H 2.35-2.59
Tl38 0.4063 0.0226 0.3182  2 H 2.35-2.59
Tl39 0.5937 0.6163 0.4119  2 H 2.35-2.59
Tl40 0.0937 0.9119 0.1163  2 H 2.35-2.59
Tl41 0.2044 0.6818 0.0881  2 H 2.35-2.59
Tl42 0.5226 0.3182 0.9063  2 H 2.35-2.59
Tl43 0.9063 0.8182 0.5226  2 H 2.35-2.59
Tl44 0.7044 0.5881 0.1818  2 H 2.35-2.59
Tl45 0.0881 0.1818 0.2044  2 H 2.35-2.59
Tl46 0.2044 0.5226 0.6163  2 H 2.35-2.59
Tl47 0.2956 0.4119 0.8182  2 H 2.35-2.59
Tl48 0.6818 0.2044 0.5881  2 H 2.35-2.59
H1 0.6250 0.7500 0.8750  4 Tl 2.35
H2 0.7500 0.1250 0.8750  4 Tl 2.35
H3 0.2500 0.3750 0.6250  4 Tl 2.35
H4 0.8750 0.2500 0.6250  4 Tl 2.35
H5 0.5000 0.0000 0.5000  6 Tl 2.59
H6 0.0000 0.5000 0.0000  6 Tl 2.59
H7 0.8750 0.6250 0.7500  4 Tl 2.35
H8 0.5000 0.5000 0.0000  6 Tl 2.59
H9 0.2500 0.8750 0.1250  4 Tl 2.35
H10 0.5000 0.5000 0.5000  6 Tl 2.59
H11 0.0000 0.5000 0.5000  6 Tl 2.59
H12 0.1250 0.7500 0.3750  4 Tl 2.35
H13 0.6250 0.8750 0.2500  4 Tl 2.35
H14 0.0000 0.0000 0.0000  6 Tl 2.59
H15 0.3750 0.2500 0.1250  4 Tl 2.35
H16 0.1250 0.3750 0.2500  4 Tl 2.35
H17 0.3750 0.1250 0.7500  4 Tl 2.35
H18 0.5000 0.0000 0.0000  6 Tl 2.59
H19 0.0000 0.0000 0.5000  6 Tl 2.59
H20 0.7500 0.6250 0.3750  4 Tl 2.35